(1)
This record from Alexandria via LeMat-Bulk describes a relaxed structure of ZrPb2Br8. The functional is GGA-PBE.

Cell lengths 6.8867, 7.9219, 7.9219 Å; angles 75.23, 73.71, 73.71 degrees
Element x y z (fractional)
Br (0.7916, 0.4196, 0.4196)
Pb (0.5390, 0.6654, 0.6654)
Br (0.7592, 0.8823, 0.8823)
Br (0.7628, 0.9487, 0.3357)
Pb (0.4610, 0.3346, 0.3346)
Br (0.2372, 0.6643, 0.0513)
Br (0.2408, 0.1177, 0.1177)
Br (0.2372, 0.0513, 0.6643)
Br (0.2084, 0.5804, 0.5804)
Zr (0.0000, 0.0000, 0.0000)
Br (0.7628, 0.3357, 0.9487)

Output
* symmetry: C2/m (12)
* total energy: -41.13 eV per formula unit
* formation energy from raw total energies: -103.32 kJ per mole of atoms


(2)
This record from Alexandria via LeMat-Bulk describes a relaxed structure of ZrPbBr6. The functional is GGA-PBE.

Cell lengths 7.0683, 7.0891, 7.3276 Å; angles 61.07, 81.89, 73.04 degrees
Element x y z (fractional)
Br (0.2702, 0.2667, 0.0000)
Br (0.7232, 0.4279, 0.7031)
Zr (0.5000, 0.5000, 0.0000)
Br (0.2768, 0.8691, 0.7031)
Br (0.2768, 0.5721, 0.2969)
Pb (0.0000, 0.0000, 0.0000)
Br (0.7298, 0.7333, 0.0000)
Br (0.7232, 0.1309, 0.2969)

Output
* symmetry: C2/m (12)
* total energy: -31.72 eV per formula unit
* formation energy from raw total energies: -113.65 kJ per mole of atoms
* energy above the lowest structure with this stoichiometry: 0 meV/atom


(3)
This record from Alexandria via LeMat-Bulk describes a relaxed structure of ZrPb4Br. The functional is GGA-PBE.

Cell lengths 6.3593, 6.3593, 6.3593 Å; angles 60.00, 60.00, 60.00 degrees
Last column: magnetic moment on the atom in μB.
Element x y z (fractional)
Zr (0.7500, 0.7500, 0.7500)  0.45
Pb (0.3757, 0.3757, 0.3757)  0.00
Pb (0.8729, 0.3757, 0.3757)  0.00
Pb (0.3757, 0.8729, 0.3757)  0.00
Pb (0.3757, 0.3757, 0.8729)  0.00
Br (0.0000, 0.0000, 0.0000)  0.00

Output
* symmetry: F-43m (216)
* total energy: -23.43 eV per formula unit
* formation energy from raw total energies: 26.07 kJ per mole of atoms


(4)
This record from Alexandria via LeMat-Bulk describes a relaxed structure of Zr3PbBr. The functional is GGA-PBE.

Cell lengths 5.5214, 5.5214, 5.5214 Å; angles 90.00, 90.00, 90.00 degrees
Last column: magnetic moment on the atom in μB.
Element x y z (fractional)
Pb (0.0000, 0.0000, 0.0000)  0.02
Zr (0.0000, 0.0000, 0.5000)  0.92
Zr (0.0000, 0.5000, 0.0000)  0.78
Br (0.5000, 0.5000, 0.5000)  0.06
Zr (0.5000, 0.0000, 0.0000)  0.75

Output
* symmetry: Pm-3m (221)
* total energy: -25.25 eV per formula unit
* formation energy from raw total energies: 111.41 kJ per mole of atoms
* energy above the lowest structure with this stoichiometry: 819 meV/atom


(5)
This record from Alexandria via LeMat-Bulk describes a relaxed structure of PdBr. The functional is GGA-PBE.

Cell lengths 8.0327, 12.8770, 7.4840 Å; angles 90.00, 90.00, 90.00 degrees
Element x y z (fractional)
Br (0.9664, 0.2500, 0.2500)
Pd (0.0000, 0.8920, 0.5000)
Br (0.2164, 0.5000, 0.5000)
Pd (0.5000, 0.1080, 0.0000)
Br (0.2836, 0.5000, 0.0000)
Pd (0.0000, 0.6080, 0.0000)
Pd (0.5000, 0.6080, 0.5000)
Br (0.4664, 0.7500, 0.2500)
Br (0.0336, 0.7500, 0.2500)
Pd (0.7500, 0.3580, 0.7500)
Pd (0.5000, 0.8920, 0.0000)
Br (0.7164, 0.0000, 0.5000)
Pd (0.7500, 0.1420, 0.7500)
Br (0.7836, 0.5000, 0.5000)
Br (0.5336, 0.2500, 0.2500)
Br (0.4664, 0.2500, 0.7500)
Pd (0.7500, 0.6420, 0.2500)
Br (0.9664, 0.7500, 0.7500)
Pd (0.2500, 0.6420, 0.7500)
Pd (0.2500, 0.8580, 0.7500)
Pd (0.2500, 0.1420, 0.2500)
Br (0.0336, 0.2500, 0.7500)
Pd (0.0000, 0.1080, 0.5000)
Pd (0.2500, 0.3580, 0.2500)
Br (0.7164, 0.5000, 0.0000)
Pd (0.0000, 0.3920, 0.0000)
Pd (0.7500, 0.8580, 0.2500)
Br (0.7836, 0.0000, 0.0000)
Pd (0.5000, 0.3920, 0.5000)
Br (0.2836, 0.0000, 0.5000)
Br (0.2164, 0.0000, 0.0000)
Br (0.5336, 0.7500, 0.7500)

Output
* symmetry: Fddd (70)
* total energy: -6.74 eV per formula unit
* formation energy from raw total energies: 5.98 kJ per mole of atoms


(6)
This record from Alexandria via LeMat-Bulk describes a relaxed structure of PdBr. The functional is GGA-PBE.

Cell lengths 3.8818, 3.8746, 6.7256 Å; angles 90.00, 125.18, 90.00 degrees
Element x y z (fractional)
Br (0.5000, 0.0000, 0.0000)
Pd (0.0000, 0.0000, 0.5000)
Pd (0.0000, 0.5000, 0.0000)
Br (0.5000, 0.5000, 0.5000)

Output
* symmetry: I4/mmm (139)
* total energy: -6.75 eV per formula unit
* formation energy from raw total energies: 5.51 kJ per mole of atoms


(7)
This record from Alexandria via LeMat-Bulk describes a relaxed structure of PdBr. The functional is GGA-PBE.

Cell lengths 7.3056, 7.3056, 7.3056 Å; angles 90.00, 90.00, 90.00 degrees
Element x y z (fractional)
Pd (0.7500, 0.0000, 0.5000)
Pd (0.5000, 0.2500, 0.0000)
Pd (0.0000, 0.5000, 0.2500)
Pd (0.0000, 0.5000, 0.7500)
Br (0.5000, 0.0000, 0.7500)
Pd (0.2500, 0.0000, 0.5000)
Pd (0.5000, 0.7500, 0.0000)
Br (0.5000, 0.0000, 0.2500)
Br (0.0000, 0.2500, 0.5000)
Br (0.0000, 0.7500, 0.5000)
Br (0.7500, 0.5000, 0.0000)
Br (0.2500, 0.5000, 0.0000)

Output
* symmetry: Pm-3n (223)
* total energy: -6.54 eV per formula unit
* formation energy from raw total energies: 15.86 kJ per mole of atoms


(8)
This record from Alexandria via LeMat-Bulk describes a relaxed structure of PdBr. The functional is GGA-PBE.

Cell lengths 7.2848, 7.2848, 4.0810 Å; angles 90.00, 90.00, 90.00 degrees
Element x y z (fractional)
Br (0.7810, 0.7810, 0.5000)
Br (0.7190, 0.2810, 0.0000)
Br (0.2190, 0.2190, 0.5000)
Br (0.2810, 0.7190, 0.0000)
Pd (0.3693, 0.3693, 0.0000)
Pd (0.1307, 0.8693, 0.5000)
Pd (0.6307, 0.6307, 0.0000)
Pd (0.8693, 0.1307, 0.5000)

Output
* symmetry: P4_2/mnm (136)
* total energy: -6.71 eV per formula unit
* formation energy from raw total energies: 7.42 kJ per mole of atoms


(9)
This record from Alexandria via LeMat-Bulk describes a relaxed structure of PdBr. The functional is GGA-PBE.

Cell lengths 4.7083, 4.1185, 4.7020 Å; angles 90.00, 110.53, 90.00 degrees
Element x y z (fractional)
Pd (0.1159, 0.7500, 0.3841)
Pd (0.8841, 0.2500, 0.6159)
Br (0.3263, 0.2500, 0.1737)
Br (0.6737, 0.7500, 0.8263)

Output
* symmetry: Cmcm (63)
* total energy: -6.86 eV per formula unit
* formation energy from raw total energies: 0.13 kJ per mole of atoms


(10)
This record from Alexandria via LeMat-Bulk describes a relaxed structure of PdBr. The functional is GGA-PBE.

Cell lengths 8.0143, 8.0143, 8.0143 Å; angles 90.00, 90.00, 90.00 degrees
Element x y z (fractional)
Br (0.3072, 0.3072, 0.6928)
Br (0.6928, 0.3072, 0.3072)
Pd (0.3724, 0.6276, 0.6276)
Pd (0.8724, 0.1276, 0.1276)
Pd (0.6276, 0.3724, 0.6276)
Br (0.6928, 0.6928, 0.6928)
Br (0.8072, 0.8072, 0.1928)
Br (0.1928, 0.8072, 0.8072)
Br (0.1928, 0.1928, 0.1928)
Pd (0.3724, 0.3724, 0.3724)
Pd (0.1276, 0.1276, 0.8724)
Pd (0.1276, 0.8724, 0.1276)
Pd (0.8724, 0.8724, 0.8724)
Pd (0.6276, 0.6276, 0.3724)
Br (0.8072, 0.1928, 0.8072)
Br (0.3072, 0.6928, 0.3072)

Output
* symmetry: I-43m (217)
* total energy: -6.70 eV per formula unit
* formation energy from raw total energies: 8.17 kJ per mole of atoms


(11)
This record from Alexandria via LeMat-Bulk describes a relaxed structure of PdBr. The functional is GGA-PBE.

Cell lengths 5.9420, 5.9420, 5.9420 Å; angles 90.00, 90.00, 90.00 degrees
Element x y z (fractional)
Pd (0.0000, 0.0000, 0.0000)
Br (0.2500, 0.7500, 0.7500)
Pd (0.5000, 0.0000, 0.5000)
Br (0.7500, 0.2500, 0.7500)
Br (0.7500, 0.7500, 0.2500)
Pd (0.5000, 0.5000, 0.0000)
Pd (0.0000, 0.5000, 0.5000)
Br (0.2500, 0.2500, 0.2500)

Output
* symmetry: F-43m (216)
* total energy: -6.60 eV per formula unit
* formation energy from raw total energies: 12.76 kJ per mole of atoms


(12)
This record from Alexandria via LeMat-Bulk describes a relaxed structure of PdBr3. The functional is GGA-PBE.

Cell lengths 5.0586, 5.0586, 5.0586 Å; angles 60.00, 60.00, 60.00 degrees
Element x y z (fractional)
Br (0.0000, 0.0000, 0.0000)
Br (0.2500, 0.2500, 0.2500)
Br (0.7500, 0.7500, 0.7500)
Pd (0.5000, 0.5000, 0.5000)

Output
* symmetry: Fm-3m (225)
* total energy: -7.92 eV per formula unit
* formation energy from raw total energies: 55.32 kJ per mole of atoms


(13)
This record from Alexandria via LeMat-Bulk describes a relaxed structure of PdBr. The functional is GGA-PBE.

Cell lengths 3.8014, 8.4607, 5.7542 Å; angles 90.00, 90.00, 90.00 degrees
Element x y z (fractional)
Br (0.0000, 0.3664, 0.2500)
Pd (0.5000, 0.5000, 0.0000)
Pd (0.0000, 0.0000, 0.5000)
Br (0.5000, 0.1336, 0.7500)
Pd (0.5000, 0.5000, 0.5000)
Br (0.5000, 0.8664, 0.2500)
Br (0.0000, 0.6336, 0.7500)
Pd (0.0000, 0.0000, 0.0000)

Output
* symmetry: Cmcm (63)
* total energy: -6.78 eV per formula unit
* formation energy from raw total energies: 4.26 kJ per mole of atoms


(14)
This record from Alexandria via LeMat-Bulk describes a relaxed structure of PdBr3. The functional is GGA-PBE.

Cell lengths 12.6155, 12.6155, 12.6155 Å; angles 14.46, 14.46, 14.46 degrees
Element x y z (fractional)
Br (0.9360, 0.9360, 0.9360)
Br (0.0640, 0.0640, 0.0640)
Br (0.5000, 0.5000, 0.5000)
Pd (0.0000, 0.0000, 0.0000)

Output
* symmetry: R-3m (166)
* total energy: -9.23 eV per formula unit
* formation energy from raw total energies: 23.58 kJ per mole of atoms


(15)
This record from Alexandria via LeMat-Bulk describes a relaxed structure of PdBr. The functional is GGA-PBE.

Cell lengths 4.0095, 4.0095, 7.3753 Å; angles 90.00, 90.00, 120.00 degrees
Element x y z (fractional)
Pd (0.6667, 0.3333, 0.2116)
Pd (0.3333, 0.6667, 0.7116)
Br (0.6667, 0.3333, 0.8704)
Br (0.3333, 0.6667, 0.3704)

Output
* symmetry: P6_3mc (186)
* total energy: -6.61 eV per formula unit
* formation energy from raw total energies: 12.27 kJ per mole of atoms


(16)
This record from Alexandria via LeMat-Bulk describes a relaxed structure of Pd2Br3. The functional is GGA-PBE.

Cell lengths 6.6753, 6.6753, 7.2395 Å; angles 62.55, 62.55, 60.00 degrees
Element x y z (fractional)
Pd (0.6630, 0.6630, 0.0110)
Br (0.2500, 0.5782, 0.2500)
Br (0.9218, 0.2500, 0.2500)
Pd (0.3370, 0.3370, 0.9890)
Br (0.4218, 0.0782, 0.7500)
Pd (0.8370, 0.8370, 0.4890)
Br (0.7500, 0.4218, 0.7500)
Br (0.0782, 0.7500, 0.7500)
Br (0.5782, 0.9218, 0.2500)
Pd (0.1630, 0.1630, 0.5110)

Output
* symmetry: R-3c (167)
* total energy: -16.13 eV per formula unit
* formation energy from raw total energies: -14.05 kJ per mole of atoms
* energy above the lowest structure with this stoichiometry: 0 meV/atom


(17)
This record from Alexandria via LeMat-Bulk describes a relaxed structure of PdBr3. The functional is GGA-PBE.

Cell lengths 8.5940, 8.5940, 8.5940 Å; angles 26.91, 26.91, 26.91 degrees
Last column: magnetic moment on the atom in μB.
Element x y z (fractional)
Pd (0.5000, 0.5000, 0.5000)  0.64
Br (0.0000, 0.0000, 0.0000)  -0.04
Br (0.1095, 0.1095, 0.1095)  0.16
Br (0.8905, 0.8905, 0.8905)  0.16

Output
* symmetry: R-3m (166)
* total energy: -10.15 eV per formula unit
* formation energy from raw total energies: 1.44 kJ per mole of atoms


(18)
This record from Alexandria via LeMat-Bulk describes a relaxed structure of PdBr. The functional is GGA-PBE.

Cell lengths 10.3803, 10.3803, 3.7369 Å; angles 90.00, 90.00, 90.00 degrees
Element x y z (fractional)
Pd (0.3405, 0.7607, 0.5000)
Pd (0.2607, 0.1595, 0.0000)
Br (0.7545, 0.0112, 0.5000)
Br (0.0112, 0.2455, 0.5000)
Pd (0.6595, 0.2393, 0.5000)
Br (0.7455, 0.4888, 0.0000)
Br (0.2545, 0.5112, 0.0000)
Pd (0.2393, 0.3405, 0.5000)
Br (0.2455, 0.9888, 0.5000)
Pd (0.1595, 0.7393, 0.0000)
Br (0.9888, 0.7545, 0.5000)
Pd (0.8405, 0.2607, 0.0000)
Pd (0.7393, 0.8405, 0.0000)
Br (0.5112, 0.7455, 0.0000)
Br (0.4888, 0.2545, 0.0000)
Pd (0.7607, 0.6595, 0.5000)

Output
* symmetry: I4/m (87)
* total energy: -6.86 eV per formula unit
* formation energy from raw total energies: 0.08 kJ per mole of atoms


(19)
This record from Alexandria via LeMat-Bulk describes a relaxed structure of Pd2Br3. The functional is GGA-PBE.

Cell lengths 3.7787, 7.3799, 10.3051 Å; angles 82.00, 79.44, 75.17 degrees
Element x y z (fractional)
Pd (0.8443, 0.9688, 0.3426)
Br (0.0495, 0.7122, 0.1889)
Br (0.9505, 0.2878, 0.8111)
Br (0.3618, 0.7752, 0.5012)
Pd (0.3864, 0.2466, 0.9806)
Pd (0.1557, 0.0312, 0.6574)
Br (0.6382, 0.2248, 0.4988)
Br (0.1840, 0.7805, 0.8514)
Br (0.8160, 0.2195, 0.1486)
Pd (0.6136, 0.7534, 0.0194)

Output
* symmetry: C2/m (12)
* total energy: -16.08 eV per formula unit
* formation energy from raw total energies: -13.10 kJ per mole of atoms
* energy above the lowest structure with this stoichiometry: 10 meV/atom


(20)
This record from Alexandria via LeMat-Bulk describes a relaxed structure of PdBr. The functional is GGA-PBE.

Cell lengths 8.0655, 3.8771, 6.7081 Å; angles 90.00, 108.72, 90.00 degrees
Element x y z (fractional)
Pd (0.9055, 0.0000, 0.2968)
Pd (0.0945, 0.0000, 0.7032)
Br (0.2626, 0.0000, 0.1015)
Br (0.7374, 0.5000, 0.3985)
Pd (0.9055, 0.5000, 0.7968)
Pd (0.0945, 0.5000, 0.2032)
Br (0.7374, 0.0000, 0.8985)
Br (0.2626, 0.5000, 0.6015)

Output
* symmetry: C2/m (12)
* total energy: -7.23 eV per formula unit
* formation energy from raw total energies: -17.72 kJ per mole of atoms


(21)
This record from Alexandria via LeMat-Bulk describes a relaxed structure of PdBr. The functional is GGA-PBE.

Cell lengths 3.7219, 13.7951, 3.5436 Å; angles 90.00, 90.00, 90.00 degrees
Element x y z (fractional)
Br (0.5000, 0.3717, 0.7500)
Pd (0.0000, 0.5864, 0.7500)
Pd (0.5000, 0.9136, 0.2500)
Br (0.0000, 0.1283, 0.2500)
Br (0.5000, 0.6283, 0.2500)
Pd (0.5000, 0.0864, 0.7500)
Br (0.0000, 0.8717, 0.7500)
Pd (0.0000, 0.4136, 0.2500)

Output
* symmetry: Cmcm (63)
* total energy: -6.76 eV per formula unit
* formation energy from raw total energies: 4.89 kJ per mole of atoms


(22)
This record from Alexandria via LeMat-Bulk describes a relaxed structure of PdBr. The functional is GGA-PBE.

Cell lengths 10.6364, 3.6978, 7.0920 Å; angles 90.00, 90.00, 90.00 degrees
Element x y z (fractional)
Pd (0.3587, 0.8443, 0.9005)
Pd (0.8587, 0.1557, 0.4005)
Br (0.1882, 0.2776, 0.7406)
Pd (0.0000, 0.6639, 0.5912)
Pd (0.6413, 0.8443, 0.9005)
Pd (0.5000, 0.3361, 0.0912)
Br (0.8118, 0.2776, 0.7406)
Br (0.5000, 0.9018, 0.6287)
Pd (0.1413, 0.1557, 0.4005)
Br (0.0000, 0.0982, 0.1287)
Br (0.3118, 0.7224, 0.2406)
Br (0.6882, 0.7224, 0.2406)

Output
* symmetry: Pmn2_1 (31)
* total energy: -6.95 eV per formula unit
* formation energy from raw total energies: -4.06 kJ per mole of atoms


(23)
This record from Alexandria via LeMat-Bulk describes a relaxed structure of PdBr. The functional is GGA-PBE.

Cell lengths 3.8797, 3.8797, 22.3667 Å; angles 90.00, 90.00, 120.00 degrees
Element x y z (fractional)
Pd (0.0000, 0.0000, 0.8656)
Br (0.6667, 0.3333, 0.9227)
Pd (0.6667, 0.3333, 0.1989)
Pd (0.6667, 0.3333, 0.4677)
Pd (0.3333, 0.6667, 0.8011)
Br (0.0000, 0.0000, 0.5894)
Br (0.3333, 0.6667, 0.2561)
Pd (0.0000, 0.0000, 0.1344)
Br (0.6667, 0.3333, 0.7439)
Br (0.3333, 0.6667, 0.0773)
Pd (0.3333, 0.6667, 0.5323)
Br (0.0000, 0.0000, 0.4106)

Output
* symmetry: R-3m (166)
* total energy: -7.23 eV per formula unit
* formation energy from raw total energies: -17.72 kJ per mole of atoms